Arrangement A

Computed, not measured: a relaxed Tb2Mg3Pd2 crystal at the PBE level of DFT.

Unit cell a=4.0061 b=5.5782 c=7.6346 alpha=95.51 beta=90.00 gamma=111.04
Closest atoms and distances in Å follow each position.
Element x y z (fractional)
1 Tb 0.6241 0.2481 0.3580  5 Pd 2.96-3.03
2 Tb 0.3759 0.7519 0.6420  5 Pd 2.96-3.03
3 Mg 0.3135 0.6269 0.1359  2 Pd 2.71
4 Mg 0.0000 0.0000 0.0000  2 Pd 2.94, 4 Mg 3.05
5 Mg 0.6865 0.3731 0.8641  2 Pd 2.71
6 Pd 0.0924 0.1849 0.6484  3 Mg 2.71-2.94, 1 Pd 2.82, 5 Tb 2.96-3.03
7 Pd 0.9076 0.8151 0.3516  3 Mg 2.71-2.94, 1 Pd 2.82, 5 Tb 2.96-3.03

Output
M_tot = 0.00 μB per formula unit
DOS(E_F) = 0.5187 states/eV per atom

***

Arrangement B

Computed, not measured: a relaxed Tb2Mg3Pd2 crystal at the PBE level of DFT.

Unit cell a=4.3480 b=5.5294 c=7.5708 alpha=110.48 beta=90.00 gamma=113.15
Closest atoms and distances in Å follow each position.
Element x y z (fractional)
1 Tb 0.8574 0.7147 0.2127  4 Pd 3.01-3.08, 3 Mg 3.34-3.35
2 Tb 0.1426 0.2853 0.7873  4 Pd 3.01-3.08, 3 Mg 3.34-3.35
3 Mg 0.5000 0.0000 0.0000  4 Pd 2.74
4 Mg 0.6334 0.2669 0.4413  3 Pd 2.79-2.90, 3 Mg 3.09
5 Mg 0.3666 0.7331 0.5587  3 Pd 2.79-2.90, 3 Mg 3.09
6 Pd 0.8509 0.7018 0.8032  5 Mg 2.74-2.90, 3 Tb 3.01
7 Pd 0.1491 0.2982 0.1968  5 Mg 2.74-2.90, 3 Tb 3.01

Output
M_tot = 0.00 μB per formula unit
DOS(E_F) = 0.5487 states/eV per atom

***

The structure with the greatest stability is arrangement B.

***

Arrangement A

Computed, not measured: a relaxed Mg2TcPd crystal at the PBE level of DFT.

Unit cell a=7.1608 b=7.1608 c=5.7809 alpha=51.73 beta=51.73 gamma=90.00
Closest atoms and distances in Å follow each position.
Element x y z (fractional)
1 Mg 0.6408 0.1250 0.2500  2 Pd 2.55, 2 Tc 2.70, 2 Mg 2.80
2 Mg 0.1092 0.6250 0.2500  2 Pd 2.55, 2 Tc 2.70, 2 Mg 2.80
3 Mg 0.3750 0.3592 0.7500  2 Pd 2.55, 2 Tc 2.70, 2 Mg 2.80
4 Mg 0.8750 0.8908 0.7500  2 Pd 2.55, 2 Tc 2.70, 2 Mg 2.80
5 Tc 0.5000 0.5000 0.0000  4 Mg 2.70, 2 Pd 2.79
6 Tc 0.2500 0.7500 0.5000  4 Mg 2.70, 2 Pd 2.79
7 Pd 0.0000 0.0000 0.0000  4 Mg 2.55, 2 Tc 2.79
8 Pd 0.7500 0.2500 0.5000  4 Mg 2.55, 2 Tc 2.79

Output
M_tot = 1.76 μB per formula unit
DOS(E_F) = 0.8415 states/eV per atom

***

Arrangement B

Computed, not measured: a relaxed Mg2TcPd crystal at the PBE level of DFT.

Unit cell a=4.5177 b=4.5177 c=4.5177 alpha=60.00 beta=60.00 gamma=60.00
Closest atoms and distances in Å follow each position.
Element x y z (fractional)
1 Mg 0.2500 0.2500 0.2500  4 Tc 2.77, 4 Pd 2.77
2 Mg 0.7500 0.7500 0.7500  4 Pd 2.77, 4 Tc 2.77
3 Tc 0.0000 0.0000 0.0000  8 Mg 2.77
4 Pd 0.5000 0.5000 0.5000  8 Mg 2.77

Output
M_tot = 1.94 μB per formula unit
DOS(E_F) = 1.5528 states/eV per atom

***

The structure with the greatest stability is arrangement B.

***

Arrangement A

Computed, not measured: a relaxed MgTePd3 crystal at the PBE level of DFT.

Unit cell a=4.9468 b=4.9468 c=4.9468 alpha=90.00 beta=90.00 gamma=90.00
Closest atoms and distances in Å follow each position.
Element x y z (fractional)
1 Mg 0.5000 0.5000 0.5000  12 Pd 3.50
2 Te 0.0000 0.0000 0.0000  6 Pd 2.47
3 Pd 0.0000 0.5000 0.0000  2 Te 2.47
4 Pd 0.0000 0.0000 0.5000  2 Te 2.47
5 Pd 0.5000 0.0000 0.0000  2 Te 2.47

Output
M_tot = 0.00 μB per formula unit
DOS(E_F) = 0.2858 states/eV per atom

***

Arrangement B

Computed, not measured: a relaxed MgTePd3 crystal at the PBE level of DFT.

Unit cell a=5.6594 b=7.3907 c=8.7699 alpha=90.02 beta=90.00 gamma=90.00
Closest atoms and distances in Å follow each position.
Element x y z (fractional)
1 Mg 0.7499 0.6222 0.1251  8 Pd 2.62-2.85
2 Mg 0.2501 0.3778 0.8749  8 Pd 2.62-2.85
3 Mg 0.2499 0.3778 0.3749  8 Pd 2.62-2.85
4 Mg 0.7501 0.6222 0.6251  8 Pd 2.62-2.85
5 Te 0.2500 0.9283 0.6251  7 Pd 2.63-2.88
6 Te 0.7500 0.0717 0.3749  7 Pd 2.63-2.88
7 Te 0.7500 0.0717 0.8749  7 Pd 2.63-2.88
8 Te 0.2500 0.9283 0.1251  7 Pd 2.63-2.88
9 Pd 0.0046 0.7604 0.3752  3 Te 2.72-2.88, 5 Pd 2.78-2.94, 2 Mg 2.81-2.82
10 Pd 0.9954 0.2396 0.6248  3 Te 2.72-2.88, 5 Pd 2.78-2.94, 2 Mg 2.81-2.82
11 Pd 0.5046 0.2396 0.1248  3 Te 2.72-2.88, 5 Pd 2.78-2.94, 2 Mg 2.81-2.82
12 Pd 0.4954 0.7604 0.8752  3 Te 2.72-2.88, 5 Pd 2.78-2.94, 2 Mg 2.81-2.82
13 Pd 0.4952 0.7604 0.3753  3 Te 2.72-2.88, 5 Pd 2.78-2.94, 2 Mg 2.81-2.82
14 Pd 0.5048 0.2396 0.6247  3 Te 2.72-2.88, 5 Pd 2.78-2.94, 2 Mg 2.81-2.82
15 Pd 0.9952 0.2396 0.1247  3 Te 2.72-2.88, 5 Pd 2.78-2.94, 2 Mg 2.81-2.82
16 Pd 0.0048 0.7604 0.8753  3 Te 2.72-2.88, 5 Pd 2.78-2.94, 2 Mg 2.81-2.82
17 Pd 0.2500 0.5727 0.6251  4 Mg 2.62-2.85, 1 Te 2.63, 2 Pd 2.85
18 Pd 0.7500 0.4273 0.3749  4 Mg 2.62-2.85, 1 Te 2.63, 2 Pd 2.85
19 Pd 0.7500 0.4273 0.8749  4 Mg 2.62-2.85, 1 Te 2.63, 2 Pd 2.85
20 Pd 0.2500 0.5727 0.1251  4 Mg 2.62-2.85, 1 Te 2.63, 2 Pd 2.85

Output
M_tot = 0.00 μB per formula unit
DOS(E_F) = 0.6845 states/eV per atom

***

The structure with the greatest stability is arrangement B.